(1)
Compound: AlTlSbAs2
Source: Alexandria
Functional: meta-GGA SCAN
Structure: PBEsol geometry

Geometry as POSCAR:
```
AlTlSbAs2
1.0
5.203 0.000 0.000
0.000 5.203 0.000
0.000 0.000 5.685
Al Tl Sb As
1 1 1 2
Cartesian
0.000 0.000 0.000
2.602 2.602 2.843
2.602 2.602 0.000
0.000 2.602 2.843
2.602 0.000 2.843
```

Values from the calculation:
Calculated density   5.43 g/cm³
DOS(E_F)   4.48 states/eV per cell
E_form (uncorrected)   1.21 eV/atom
Space-group type   No. 123

(2)
Compound: ScAlAs2
Source: Alexandria
Functional: meta-GGA SCAN
Structure: PBEsol geometry

Geometry as POSCAR:
```
ScAlAs2
1.0
1.878 1.084 6.213
-1.878 1.084 6.213
0.000 -2.169 6.213
Sc Al As
1 1 2
Cartesian
0.000 0.000 0.000
0.000 0.000 9.319
0.000 0.000 4.561
0.000 0.000 14.078
```

Values from the calculation:
Calculated density   4.85 g/cm³
DOS(E_F)   0.50 states/eV per cell
Space-group type   No. 166
Formation enthalpy at 0 K   -3.252 eV per formula unit

(3)
Compound: ScAlAs2
Source: Alexandria
Functional: meta-GGA SCAN
Structure: PBEsol geometry

Geometry as POSCAR:
```
ScAlAs2
1.0
1.926 -2.335 0.000
1.926 2.335 0.000
0.000 0.000 8.572
Sc Al As
1 1 2
Cartesian
0.000 0.000 0.000
1.926 0.000 2.199
0.000 0.000 3.938
1.926 0.000 6.691
```

Values from the calculation:
Calculated density   4.78 g/cm³
DOS(E_F)   2.44 states/eV per cell
Space-group type   No. 35
Formation enthalpy at 0 K   -0.862 eV per formula unit

(4)
Compound: ScAl2As2
Source: Alexandria
Functional: meta-GGA SCAN
Structure: PBEsol geometry

Geometry as POSCAR:
```
ScAl2As2
1.0
-2.441 2.441 4.100
2.441 -2.441 4.100
2.441 2.441 -4.100
Sc Al As
1 2 2
Cartesian
0.000 0.000 0.000
0.000 0.000 2.842
0.000 0.000 5.357
2.441 0.000 2.050
0.000 2.441 2.050
```

Values from the calculation:
Calculated density   4.23 g/cm³
DOS(E_F)   1.97 states/eV per cell
Space-group type   No. 139
Formation enthalpy at 0 K   -1.513 eV per formula unit

(5)
Compound: Sc2AlAs
Source: Alexandria
Functional: meta-GGA SCAN
Structure: PBEsol geometry

Geometry as POSCAR:
```
Sc2AlAs
1.0
-1.967 1.967 4.813
1.967 -1.967 4.813
1.967 1.967 -4.813
Sc Al As
2 1 1
Cartesian
0.000 0.000 0.000
0.000 1.967 2.406
0.000 0.000 4.813
1.967 0.000 2.406
```

Values from the calculation:
Calculated density   4.27 g/cm³
DOS(E_F)   2.11 states/eV per cell
Space-group type   No. 119
Formation enthalpy at 0 K   -2.980 eV per formula unit

(6)
Compound: AlAs2Se
Source: Alexandria
Functional: meta-GGA SCAN
Structure: PBEsol geometry

Geometry as POSCAR:
```
AlAs2Se
1.0
3.640 0.000 0.000
0.000 3.640 0.000
0.000 0.000 6.277
Al As Se
1 2 1
Cartesian
0.000 0.000 0.000
0.000 1.820 3.138
1.820 0.000 3.138
1.820 1.820 0.000
```

Values from the calculation:
Calculated density   5.11 g/cm³
DOS(E_F)   2.27 states/eV per cell
E above lowest polymorph   341 meV/atom
E_form (uncorrected)   0.18 eV/atom
Space-group type   No. 123

(7)
Compound: AlAsSe
Source: Alexandria
Functional: meta-GGA SCAN
Structure: PBEsol geometry

Geometry as POSCAR:
```
AlAsSe
1.0
0.000 2.740 5.625
1.906 0.000 5.625
1.906 2.740 0.000
Al As Se
1 1 1
Cartesian
0.000 0.000 0.000
1.906 2.740 3.911
1.906 2.740 7.203
```

Values from the calculation:
Calculated density   5.11 g/cm³
DOS(E_F)   1.27 states/eV per cell
E_form (uncorrected)   0.06 eV/atom
Space-group type   No. 42

(8)
Compound: AlAs2Se
Source: Alexandria
Functional: meta-GGA SCAN
Structure: PBEsol geometry

Geometry as POSCAR:
```
AlAs2Se
1.0
3.727 0.000 0.000
0.000 2.725 3.910
0.000 -2.725 3.910
Al As Se
1 2 1
Cartesian
0.000 0.000 0.000
0.000 0.000 4.018
1.863 0.000 5.754
1.863 0.000 1.725
```

Values from the calculation:
Calculated density   5.35 g/cm³
DOS(E_F)   1.34 states/eV per cell
E above lowest polymorph   0 meV/atom
E_form (uncorrected)   -0.16 eV/atom
Space-group type   No. 38

(9)
Compound: AlSnAs2Se
Source: Alexandria
Functional: meta-GGA SCAN
Structure: PBEsol geometry

Geometry as POSCAR:
```
AlSnAs2Se
1.0
4.826 0.000 0.000
0.000 4.826 0.000
0.000 0.000 4.899
Al Sn As Se
1 1 2 1
Cartesian
0.000 0.000 0.000
2.413 2.413 2.450
0.000 2.413 0.000
2.413 0.000 0.000
0.000 0.000 2.450
```

Values from the calculation:
Calculated density   5.45 g/cm³
DOS(E_F)   2.88 states/eV per cell
E_form (uncorrected)   0.28 eV/atom
Space-group type   No. 123

(10)
Compound: ZrAlAs2Se
Source: Alexandria
Functional: meta-GGA SCAN
Structure: PBEsol geometry

Geometry as POSCAR:
```
ZrAlAs2Se
1.0
4.683 0.000 0.000
0.000 4.683 0.000
0.000 0.000 4.867
Zr Al As Se
1 1 2 1
Cartesian
0.000 0.000 0.000
2.342 2.342 2.433
0.000 2.342 2.433
2.342 0.000 2.433
2.342 2.342 0.000
```

Values from the calculation:
Calculated density   5.40 g/cm³
DOS(E_F)   3.24 states/eV per cell
E_form (uncorrected)   0.19 eV/atom
Space-group type   No. 123

(11)
Compound: AlSi2As
Source: Alexandria
Functional: meta-GGA SCAN
Structure: PBEsol geometry

Geometry as POSCAR:
```
AlSi2As
1.0
3.399 0.000 0.000
0.000 3.399 0.000
0.000 0.000 5.527
Al Si As
1 2 1
Cartesian
0.000 0.000 0.000
1.700 1.700 1.334
1.700 1.700 4.193
0.000 0.000 2.763
```

Values from the calculation:
Calculated density   4.11 g/cm³
DOS(E_F)   1.49 states/eV per cell
E above lowest polymorph   196 meV/atom
E_form (uncorrected)   0.44 eV/atom
Space-group type   No. 123

(12)
Compound: AlSiAs3
Source: Alexandria
Functional: meta-GGA SCAN
Structure: PBEsol geometry

Geometry as POSCAR:
```
AlSiAs3
1.0
4.723 0.000 0.000
0.000 4.723 0.000
0.000 0.000 4.723
Al Si As
1 1 3
Cartesian
0.000 0.000 0.000
2.362 2.362 2.362
0.000 2.362 2.362
2.362 0.000 2.362
2.362 2.362 0.000
```

Values from the calculation:
Calculated density   4.41 g/cm³
DOS(E_F)   3.75 states/eV per cell
E_form (uncorrected)   0.75 eV/atom
Space-group type   No. 221

(13)
Compound: AlSi2As
Source: Alexandria
Functional: meta-GGA SCAN
Structure: PBEsol geometry

Geometry as POSCAR:
```
AlSi2As
1.0
4.907 0.000 0.000
0.000 5.087 0.000
0.000 0.000 2.657
Al Si As
1 2 1
Cartesian
0.000 0.000 0.000
2.453 0.000 1.421
2.453 2.544 1.025
0.000 2.544 0.358
```

Values from the calculation:
Calculated density   3.96 g/cm³
DOS(E_F)   1.58 states/eV per cell
E above lowest polymorph   0 meV/atom
E_form (uncorrected)   0.25 eV/atom
Space-group type   No. 25

(14)
Compound: AlSiAs
Source: Alexandria
Functional: meta-GGA SCAN
Structure: PBEsol geometry

Geometry as POSCAR:
```
AlSiAs
1.0
-1.533 1.636 4.885
1.533 -1.636 4.885
1.533 1.636 -4.885
Al Si As
1 1 1
Cartesian
0.000 0.000 0.000
0.000 0.000 3.261
0.000 0.000 6.680
```

Values from the calculation:
Calculated density   4.40 g/cm³
DOS(E_F)   1.24 states/eV per cell
E_form (uncorrected)   0.35 eV/atom
Space-group type   No. 44

(15)
Compound: AlTlSiAs2
Source: Alexandria
Functional: meta-GGA SCAN
Structure: PBEsol geometry

Geometry as POSCAR:
```
AlTlSiAs2
1.0
4.751 0.000 0.000
0.000 4.751 0.000
0.000 0.000 5.320
Al Tl Si As
1 1 1 2
Cartesian
0.000 0.000 0.000
2.375 2.375 0.000
2.375 2.375 2.660
0.000 2.375 2.660
2.375 0.000 2.660
```

Values from the calculation:
Calculated density   5.66 g/cm³
DOS(E_F)   2.49 states/eV per cell
E_form (uncorrected)   0.71 eV/atom
Space-group type   No. 123

Calculated calculated volume, 154, 76, 77, 98, 75, 83, 59, 79, 114, 107, 64, 105, 66, 49, 120 Å³/cell (same order as the records).